1.
This record from Alexandria describes a geometry-optimized NiAsI2 structure. The functional is GGA-PBE.

Lattice parameters (Å, degrees): 6.6976 6.6976 6.6976 116.36 116.36 96.42
Last column: nearest neighbours and their distance in Å.
Element x y z (fractional)
Ni 0.0000 0.0000 0.0000  4 I 2.52
Ni 0.7500 0.2500 0.5000  4 I 2.52
As 0.2500 0.7500 0.5000  4 I 2.98
As 0.5000 0.5000 0.0000  4 I 2.98
I 0.0748 0.6250 0.9498  2 Ni 2.52
I 0.3750 0.3248 0.4498  2 Ni 2.52
I 0.6752 0.1250 0.0502  2 Ni 2.52
I 0.8750 0.9252 0.5502  2 Ni 2.52

## Properties
Calculated volume: 27.826 A^3/atom
M_tot: 0.00 μB/f.u.
D(E_F): 7.46 states/eV per cell
Symmetry: I-42d (122)
E_form (uncorrected): 455 meV per atom
Excess energy over the best structure of this formula in the dataset: 0.0851 eV per atom


2.
This record from Alexandria describes a geometry-optimized CrMoBr structure. The functional is GGA-PBE.

Lattice parameters (Å, degrees): 6.0785 6.0785 3.1556 101.46 101.46 29.18
Last column: nearest neighbours and their distance in Å.
Element x y z (fractional)
Cr 0.0000 0.0000 0.0000  2 Mo 2.41
Mo 0.3876 0.3876 0.3371  2 Cr 2.41
Br 0.6948 0.6948 0.0599  2 Mo 2.73, 2 Cr 2.73

## Properties
Calculated volume: 18.545 A^3/atom
M_tot: 0.78 μB/f.u.
D(E_F): 1.56 states/eV per cell
Symmetry: Cm (8)
E_form (uncorrected): 516 meV per atom
Excess energy over the best structure of this formula in the dataset: 0.3992 eV per atom


3.
This record from Alexandria describes a geometry-optimized LiCdC2 structure. The functional is GGA-PBE.

Lattice parameters (Å, degrees): 5.0625 5.0625 5.0625 103.29 103.29 122.69
Last column: nearest neighbours and their distance in Å.
Element x y z (fractional)
Li 0.0000 0.0000 0.0000  4 C 2.29, 2 Cd 2.43
Li 0.7500 0.2500 0.5000  4 C 2.29, 2 Cd 2.43
Cd 0.2500 0.7500 0.5000  4 C 2.31, 2 Li 2.43
Cd 0.5000 0.5000 0.0000  4 C 2.31, 2 Li 2.43
C 0.1227 0.1250 0.4977  2 Li 2.29, 2 Cd 2.31, 2 C 2.43
C 0.3750 0.8773 0.0023  2 Li 2.29, 2 Cd 2.31, 2 C 2.43
C 0.6273 0.6250 0.5023  2 Li 2.29, 2 Cd 2.31, 2 C 2.43
C 0.8750 0.3727 0.9977  2 Li 2.29, 2 Cd 2.31, 2 C 2.43

## Properties
Calculated volume: 11.977 A^3/atom
E_form: 2.0251 eV per atom
M_tot: 0.00 μB/f.u.
D(E_F): 4.63 states/eV per cell
Symmetry: I-42d (122)


4.
This record from Alexandria describes a geometry-optimized Pm3Sm structure. The functional is GGA-PBE.

Lattice parameters (Å, degrees): 5.7909 5.7909 5.7909 60.00 60.00 60.00
Last column: nearest neighbours and their distance in Å.
Element x y z (fractional)
Pm 0.0000 0.0000 0.0000  8 Pm 3.55
Pm 0.2500 0.2500 0.2500  4 Pm 3.55, 4 Sm 3.55
Pm 0.7500 0.7500 0.7500  4 Pm 3.55, 4 Sm 3.55
Sm 0.5000 0.5000 0.5000  8 Pm 3.55

## Properties
Calculated volume: 34.328 A^3/atom
E_form: 0.1401 eV per atom
M_tot: 0.00 μB/f.u.
D(E_F): 11.02 states/eV per cell
Symmetry: Fm-3m (225)
Excess energy over the best structure of this formula in the dataset: 0.1386 eV per atom


5.
This record from Alexandria describes a geometry-optimized BaBe2P structure. The functional is GGA-PBE.

Lattice parameters (Å, degrees): 6.0084 6.0084 3.0825 103.68 103.68 119.93
Last column: nearest neighbours and their distance in Å.
Element x y z (fractional)
Ba 0.0000 0.0000 0.0000  4 P 3.01-3.13, 4 Be 3.03, 2 Ba 3.08
Be 0.0000 0.5000 0.5000  6 Be 3.01-3.13, 2 Ba 3.03, 2 P 3.03
Be 0.5000 0.0000 0.5000  6 Be 3.01-3.13, 2 Ba 3.03, 2 P 3.03
P 0.5000 0.5000 0.0000  4 Ba 3.01-3.13, 4 Be 3.03, 2 P 3.08

## Properties
Calculated volume: 21.252 A^3/atom
E_form: 0.9232 eV per atom
M_tot: 0.00 μB/f.u.
D(E_F): 1.67 states/eV per cell
Symmetry: C2/m (12)


6.
This record from Alexandria describes a geometry-optimized YAl2SiOs2 structure. The functional is GGA-PBE.

Lattice parameters (Å, degrees): 4.4505 4.4505 5.6138 90.00 90.00 90.00
Last column: nearest neighbours and their distance in Å.
Element x y z (fractional)
Y 0.0000 0.0000 0.0000  2 Si 2.81
Al 0.5000 0.5000 0.2352  1 Al 2.64, 4 Os 2.68
Al 0.5000 0.5000 0.7648  1 Al 2.64, 4 Os 2.68
Si 0.0000 0.0000 0.5000  4 Os 2.23
Os 0.0000 0.5000 0.5000  2 Si 2.23
Os 0.5000 0.0000 0.5000  2 Si 2.23

## Properties
Calculated volume: 18.532 A^3/atom
M_tot: 0.00 μB/f.u.
D(E_F): 4.20 states/eV per cell
Symmetry: P4/mmm (123)
E_form (uncorrected): -207 meV per atom


7.
This record from Alexandria describes a geometry-optimized AgCBr2 structure. The functional is GGA-PBE.

Lattice parameters (Å, degrees): 7.7478 7.7478 7.7478 137.93 137.93 61.01
Last column: nearest neighbours and their distance in Å.
Element x y z (fractional)
Ag 0.0000 0.0000 0.0000  4 Br 2.77
Ag 0.7500 0.2500 0.5000  4 Br 2.77
C 0.2500 0.7500 0.5000  4 Br 2.41
C 0.5000 0.5000 0.0000  4 Br 2.41
Br 0.1855 0.6250 0.0605  2 C 2.41
Br 0.3750 0.4355 0.5605  2 C 2.41
Br 0.5645 0.1250 0.9395  2 C 2.41
Br 0.8750 0.8145 0.4395  2 C 2.41

## Properties
Calculated volume: 25.812 A^3/atom
M_tot: 1.00 μB/f.u.
D(E_F): 0.01 states/eV per cell
Symmetry: I-42d (122)
E_form (uncorrected): 1240 meV per atom
Excess energy over the best structure of this formula in the dataset: 0.0000 eV per atom


8.
This record from Alexandria describes a geometry-optimized TmLuTcHg structure. The functional is GGA-PBE.

Lattice parameters (Å, degrees): 4.9538 4.9538 4.9538 60.00 60.00 60.00
Last column: nearest neighbours and their distance in Å.
Element x y z (fractional)
Tm 0.0000 0.0000 0.0000  4 Hg 3.03, 4 Tc 3.03
Lu 0.5000 0.5000 0.5000  4 Tc 3.03, 4 Hg 3.03
Tc 0.7500 0.7500 0.7500  4 Lu 3.03, 4 Tm 3.03
Hg 0.2500 0.2500 0.2500  4 Lu 3.03, 4 Tm 3.03

## Properties
Calculated volume: 21.490 A^3/atom
E_form: -0.2018 eV per atom
M_tot: 0.00 μB/f.u.
D(E_F): 2.57 states/eV per cell
Symmetry: F-43m (216)